! PBE CaTe2PtN, optimized geometry; values from VASP
! Magnetization ... 0.000 μB/f.u.
! Energy relative to the lowest polymorph listed for this composition ... 0 meV/atom
! Space-group type ... P4/mmm, No. 123
! E ... -4.7167 eV/atom
! ΔE_f (raw) ... -0.9 eV/f.u.
&SYSTEM
  ibrav = 0, nat = 5, ntyp = 4
/
ATOMIC_SPECIES
Ca 40.08 Ca.upf
Te 127.60 Te.upf
Pt 195.08 Pt.upf
N 14.01 N.upf
ATOMIC_POSITIONS crystal
Ca 0.500 0.500 0.500
Te 0.000 0.500 0.000
Te 0.500 0.000 0.000
Pt 0.000 0.000 0.000
N 0.000 0.000 0.500
CELL_PARAMETERS angstrom
-5.107 -0.862 -2.432
-0.047 -5.361 1.999
-1.686 1.179 3.123